Record 1
Material: ThGaCu2
Method: DFT, GGA-PBE
State: optimized geometry

Output
Symmetry: No. 63
Energy of formation from the pure elements, eV per atom: -0.2975
Density of states at the Fermi level, states/eV per cell: 6.24
Size of the total moment, μB/atom: 0.00

a = 8.953 Å, b = 8.953 Å, c = 4.244 Å
α = 90.00°, β = 90.00°, γ = 153.51°
Element x y z (fractional)
Th 0.107 0.893 0.750
Th 0.893 0.107 0.250
Ga 0.325 0.675 0.750
Ga 0.675 0.325 0.250
Cu 0.252 0.748 0.250
Cu 0.467 0.533 0.750
Cu 0.533 0.467 0.250
Cu 0.748 0.252 0.750

---

Record 2
Material: SrCuSb2Se4
Method: DFT, GGA-PBE
State: optimized geometry

Output
Symmetry: No. 63
Uncorrected formation energy, kJ per mole of atoms: -54.9
Density of states at the Fermi level, states/eV per cell: 2.47
Size of the total moment, μB/atom: 0.00

a = 6.981 Å, b = 6.981 Å, c = 14.255 Å
α = 90.00°, β = 90.00°, γ = 143.13°
Element x y z (fractional)
Sr 0.121 0.879 0.750
Sr 0.879 0.121 0.250
Cu 0.139 0.861 0.250
Cu 0.861 0.139 0.750
Sb 0.373 0.627 0.552
Sb 0.373 0.627 0.948
Sb 0.627 0.373 0.052
Sb 0.627 0.373 0.448
Se 0.000 0.000 0.000
Se 0.000 0.000 0.500
Se 0.269 0.731 0.118
Se 0.269 0.731 0.382
Se 0.446 0.554 0.750
Se 0.554 0.446 0.250
Se 0.731 0.269 0.618
Se 0.731 0.269 0.882

---

Record 3
Material: CsScTaCd2
Method: DFT, GGA-PBE
State: optimized geometry

Output
Symmetry: No. 123
Energy of formation from the pure elements, eV per atom: 2.0883
Density of states at the Fermi level, states/eV per cell: 5.55
Size of the total moment, μB/atom: 0.00

a = 5.721 Å, b = 5.721 Å, c = 5.356 Å
α = 90.00°, β = 90.00°, γ = 90.00°
Element x y z (fractional)
Cs 0.000 0.000 0.000
Sc 0.500 0.500 0.500
Ta 0.000 0.000 0.500
Cd 0.000 0.500 0.000
Cd 0.500 0.000 0.000